Material: CuHgCl2
Method: DFT, PBE
State: relaxed

The structure in POSCAR format:
```
CuHgCl2
1.0
-4.5307 0.0561 -3.0198
1.9477 -4.5970 4.2756
-3.3761 0.7664 2.1793
Hg Cu Cl
1 1 2
Direct
0.5000 0.0000 0.5000
0.5000 0.5000 0.0000
0.0000 0.0000 0.0000
0.0000 0.5000 0.5000
```

Formation energy without anion corrections in eV/f.u.: -0.2
ΔE to the lowest computed polymorph in kJ/mol of atoms: 31.5

***

Material: Mg3P
Method: DFT, PBE
State: relaxed

The structure in POSCAR format:
```
Mg3P
1.0
3.0768 0.0000 0.0000
0.0000 4.8904 0.0000
0.0000 0.0000 5.2397
Mg P
3 1
Direct
0.0000 0.0000 0.0101
0.5000 0.0000 0.4939
0.5000 0.5000 0.8406
0.0000 0.5000 0.3220
```

Energy of formation in eV per atom: 0.014

***

Material: ErScInPt
Method: DFT, PBE
State: relaxed

The structure in POSCAR format:
```
ErScInPt
1.0
4.9681 0.0000 0.0000
2.4841 4.3025 0.0000
2.4841 1.4342 4.0565
Sc In Pt Er
1 1 1 1
Direct
0.0000 0.0000 0.0000
0.2500 0.2500 0.2500
0.7500 0.7500 0.7500
0.5000 0.5000 0.5000
```

Energy of formation in eV per atom: -0.750

***

Material: CrTePb4
Method: DFT, PBE
State: relaxed

The structure in POSCAR format:
```
CrTePb4
1.0
5.4725 -2.6367 -2.1345
0.4691 -6.3923 -0.6121
0.2189 -2.6658 -5.8568
Cr Te Pb
1 1 4
Direct
0.0000 0.0000 0.0000
0.7500 0.7500 0.7500
0.3743 0.8770 0.3743
0.8770 0.3743 0.3743
0.3743 0.3743 0.8770
0.3743 0.3743 0.3743
```

Formation energy without anion corrections in eV/f.u.: 3.0

***

Material: PrGa12Pt6
Method: DFT, PBE
State: relaxed

The structure in POSCAR format:
```
PrGa12Pt6
1.0
7.2286 -0.0015 -0.0021
-1.7933 7.0026 -0.0021
-1.7933 -2.3100 6.6106
Pr Ga Pt
1 12 6
Direct
0.0000 0.0000 0.0000
0.8896 0.1104 0.5000
0.8552 0.6029 0.6029
0.6029 0.6029 0.8552
0.3971 0.1448 0.3971
0.3971 0.3971 0.1448
0.1448 0.3971 0.3971
0.1104 0.5000 0.8896
0.5000 0.8896 0.1104
0.1104 0.8896 0.5000
0.8896 0.5000 0.1104
0.5000 0.1104 0.8896
0.6029 0.8552 0.6029
0.7171 0.2842 0.2842
0.2842 0.2842 0.7171
0.2842 0.7171 0.2842
0.7158 0.7158 0.2829
0.2829 0.7158 0.7158
0.7158 0.2829 0.7158
```

Energy of formation in eV per atom: -0.579

***

Material: CoTeMo2
Method: DFT, PBE
State: relaxed

The structure in POSCAR format:
```
CoTeMo2
1.0
-3.3417 2.8950 -2.4295
0.3432 -0.1044 -5.0321
-0.2420 -3.4688 3.6551
Co Mo Te
1 2 1
Direct
0.7500 0.2500 0.5000
0.0000 0.0000 0.0000
0.5000 0.5000 0.0000
0.2500 0.7500 0.5000
```

Formation energy without anion corrections in eV/f.u.: 1.6

***

Material: UIn2SnCl8
Method: DFT, PBE
State: relaxed

The structure in POSCAR format:
```
UIn2SnCl8
1.0
8.3314 0.7150 1.1352
0.7027 6.4968 -0.5185
0.8971 -0.1323 8.3638
U In Sn Cl
1 2 1 8
Direct
0.0000 0.0000 0.0000
0.5248 0.7027 0.3445
0.4752 0.2973 0.6555
0.0000 0.0000 0.5000
0.8766 0.2656 0.2799
0.7248 0.8626 0.0562
0.1180 0.7363 0.1874
0.1234 0.7344 0.7201
0.2752 0.1374 0.9438
0.8820 0.2637 0.8126
0.6894 0.8777 0.5659
0.3106 0.1223 0.4341
```

Formation energy without anion corrections in eV/f.u.: -14.9

***

Material: NaSrSc2
Method: DFT, PBE
State: relaxed

The structure in POSCAR format:
```
NaSrSc2
1.0
8.9836 0.0000 0.0000
0.0000 8.9836 0.0000
4.4918 4.4918 3.2235
Sc Sr Na
4 2 2
Direct
0.5963 0.1250 0.2500
0.1537 0.6250 0.2500
0.3750 0.4037 0.7500
0.8750 0.8463 0.7500
0.0000 0.0000 0.0000
0.7500 0.2500 0.5000
0.5000 0.5000 0.0000
0.2500 0.7500 0.5000
```

ΔE to the lowest computed polymorph in kJ/mol of atoms: 15.0
Energy of formation in eV per atom: 0.651

***

Material: LiHfN3
Method: DFT, PBE
State: relaxed

The structure in POSCAR format:
```
LiHfN3
1.0
-1.6123 -3.6497 1.2928
3.8713 -1.5447 0.4672
0.0696 1.3728 3.9625
Li Hf N
1 1 3
Direct
0.5000 0.5000 0.5000
0.0000 0.0000 0.0000
0.0000 0.5000 0.0000
0.0000 0.0000 0.5000
0.5000 0.0000 0.0000
```

Formation energy without anion corrections in eV/f.u.: 2.0

***

Material: CoP2Pt
Method: DFT, PBE
State: relaxed

The structure in POSCAR format:
```
CoP2Pt
1.0
0.0000 2.9883 2.9883
2.9883 0.0000 2.9883
2.9883 2.9883 0.0000
P Co Pt
2 1 1
Direct
0.2500 0.2500 0.2500
0.7500 0.7500 0.7500
0.0000 0.0000 0.0000
0.5000 0.5000 0.5000
```

ΔE to the lowest computed polymorph in kJ/mol of atoms: 50.5
Energy of formation in eV per atom: 0.125

***

Material: KPbS2
Method: DFT, PBE
State: relaxed

The structure in POSCAR format:
```
KPbS2
1.0
7.0665 0.0000 0.0000
0.0000 7.0665 0.0000
3.5333 3.5333 5.9928
Pb K S
2 2 4
Direct
0.0000 0.0000 0.0000
0.7500 0.2500 0.5000
0.5000 0.5000 0.0000
0.2500 0.7500 0.5000
0.6883 0.1250 0.2500
0.0617 0.6250 0.2500
0.3750 0.3117 0.7500
0.8750 0.9383 0.7500
```

Formation energy without anion corrections in eV/f.u.: -2.4

***

Material: GeP3Cl
Method: DFT, PBE
State: relaxed

The structure in POSCAR format:
```
GeP3Cl
1.0
4.6448 0.0000 0.0000
0.0000 4.6448 0.0000
0.0000 0.0000 4.6448
P Ge Cl
3 1 1
Direct
0.0000 0.5000 0.0000
0.0000 0.0000 0.5000
0.5000 0.0000 0.0000
0.5000 0.5000 0.5000
0.0000 0.0000 0.0000
```

Formation energy without anion corrections in eV/f.u.: 6.6
ΔE to the lowest computed polymorph in kJ/mol of atoms: 25.1

***

The raw total energy results, record by record, are as follows: -2.0669 -2.5344 -5.6680 -4.0932 -4.6503 -7.5718 -4.2016 -3.2645 -6.9653 -5.8665 -3.8644 -3.2092 eV/atom.
The DOS(E_F) results, record by record, are as follows: 0.66 1.66 3.47 5.68 5.12 5.65 4.41 12.45 4.02 4.04 1.45 3.10 states/eV per cell.